A relaxed Li2MnPt crystal, computed with PBE.

* calculated total energy: -20.13 eV/f.u.
* E_form: -272 meV per atom
* volume: 114.0 Å³ per cell

Geometry as CIF:
```
data_Li2MnPt
_chemical_formula_sum 'Li4 Mn2 Pt2'
_cell_length_a 3.743
_cell_length_b 3.743
_cell_length_c 8.140
_cell_angle_alpha 90.00
_cell_angle_beta 90.00
_cell_angle_gamma 90.00
_symmetry_space_group_name_H-M 'I 4/m m m'
_symmetry_Int_Tables_number 139
_symmetry_space_group_name_Hall '-I 4 2'
loop_
_atom_site_label
_atom_site_type_symbol
_atom_site_fract_x
_atom_site_fract_y
_atom_site_fract_z
Li1 Li 0.000 0.500 0.250
Mn1 Mn 0.000 0.000 0.000
Pt1 Pt 0.000 0.000 0.500
```

A relaxed Li2MnPt2 crystal, computed with PBE.

* calculated total energy: -26.76 eV/f.u.
* E_form: -337 meV per atom
* volume: 135.9 Å³ per cell

Geometry as CIF:
```
data_Li2MnPt2
_chemical_formula_sum 'Li4 Mn2 Pt4'
_cell_length_a 6.881
_cell_length_b 6.881
_cell_length_c 2.870
_cell_angle_alpha 90.00
_cell_angle_beta 90.00
_cell_angle_gamma 90.00
_symmetry_space_group_name_H-M 'P 4/m b m'
_symmetry_Int_Tables_number 127
_symmetry_space_group_name_Hall '-P 4 2ab'
loop_
_atom_site_label
_atom_site_type_symbol
_atom_site_fract_x
_atom_site_fract_y
_atom_site_fract_z
Li1 Li 0.113 0.387 0.000
Mn1 Mn 0.000 0.000 0.000
Pt1 Pt 0.187 0.687 0.500
```

A relaxed LiMnPt crystal, computed with PBE.

* calculated total energy: -17.66 eV/f.u.
* E_form: -177 meV per atom
* volume: 164.3 Å³ per cell

Geometry as CIF:
```
data_LiMnPt
_chemical_formula_sum 'Li4 Mn4 Pt4'
_cell_length_a 7.703
_cell_length_b 2.732
_cell_length_c 7.806
_cell_angle_alpha 90.00
_cell_angle_beta 90.00
_cell_angle_gamma 90.00
_symmetry_space_group_name_H-M 'P n m a'
_symmetry_Int_Tables_number 62
_symmetry_space_group_name_Hall '-P 2ac 2n'
loop_
_atom_site_label
_atom_site_type_symbol
_atom_site_fract_x
_atom_site_fract_y
_atom_site_fract_z
Li1 Li 0.066 0.250 0.147
Mn1 Mn 0.096 0.250 0.558
Pt1 Pt 0.230 0.250 0.847
```

A relaxed LiMnPt crystal, computed with PBE.

* calculated total energy: -17.85 eV/f.u.
* E_form: -243 meV per atom
* volume: 86.1 Å³ per cell

Geometry as CIF:
```
data_LiMnPt
_chemical_formula_sum 'Li2 Mn2 Pt2'
_cell_length_a 4.631
_cell_length_b 2.788
_cell_length_c 6.841
_cell_angle_alpha 90.00
_cell_angle_beta 102.80
_cell_angle_gamma 90.00
_symmetry_space_group_name_H-M 'P 1 m 1'
_symmetry_Int_Tables_number 6
_symmetry_space_group_name_Hall 'P -2y'
loop_
_atom_site_label
_atom_site_type_symbol
_atom_site_fract_x
_atom_site_fract_y
_atom_site_fract_z
Li1 Li 0.000 0.000 0.000
Li2 Li 0.246 0.500 0.348
Mn1 Mn 0.676 0.500 0.675
Mn2 Mn 0.737 0.000 0.343
Pt1 Pt 0.169 0.000 0.660
Pt2 Pt 0.506 0.500 0.021
```

A relaxed Li2MnPt crystal, computed with PBE.

* calculated total energy: -19.28 eV/f.u.
* E_form: -61 meV per atom
* volume: 59.9 Å³ per cell

Geometry as CIF:
```
data_Li2MnPt
_chemical_formula_sum 'Li2 Mn1 Pt1'
_cell_length_a 2.733
_cell_length_b 2.733
_cell_length_c 8.020
_cell_angle_alpha 90.00
_cell_angle_beta 90.00
_cell_angle_gamma 90.00
_symmetry_space_group_name_H-M 'P 4/m m m'
_symmetry_Int_Tables_number 123
_symmetry_space_group_name_Hall '-P 4 2'
loop_
_atom_site_label
_atom_site_type_symbol
_atom_site_fract_x
_atom_site_fract_y
_atom_site_fract_z
Li1 Li 0.000 0.000 0.221
Mn1 Mn 0.500 0.500 0.500
Pt1 Pt 0.500 0.500 0.000
```

A relaxed LiMnPt crystal, computed with PBE.

* calculated total energy: -18.02 eV/f.u.
* E_form: -299 meV per atom
* volume: 86.5 Å³ per cell

Geometry as CIF:
```
data_LiMnPt
_chemical_formula_sum 'Li2 Mn2 Pt2'
_cell_length_a 2.822
_cell_length_b 3.830
_cell_length_c 7.999
_cell_angle_alpha 90.00
_cell_angle_beta 90.00
_cell_angle_gamma 90.00
_symmetry_space_group_name_H-M 'I m m 2'
_symmetry_Int_Tables_number 44
_symmetry_space_group_name_Hall 'I 2 -2'
loop_
_atom_site_label
_atom_site_type_symbol
_atom_site_fract_x
_atom_site_fract_y
_atom_site_fract_z
Li1 Li 0.000 0.000 0.000
Mn1 Mn 0.000 0.000 0.678
Pt1 Pt 0.000 0.000 0.335
```

A relaxed Li2MnPt crystal, computed with PBE.

* calculated total energy: -19.91 eV/f.u.
* E_form: -217 meV per atom
* volume: 60.0 Å³ per cell

Geometry as CIF:
```
data_Li2MnPt
_chemical_formula_sum 'Li2 Mn1 Pt1'
_cell_length_a 2.798
_cell_length_b 3.913
_cell_length_c 5.477
_cell_angle_alpha 90.00
_cell_angle_beta 90.21
_cell_angle_gamma 90.00
_symmetry_space_group_name_H-M 'P 1 m 1'
_symmetry_Int_Tables_number 6
_symmetry_space_group_name_Hall 'P -2y'
loop_
_atom_site_label
_atom_site_type_symbol
_atom_site_fract_x
_atom_site_fract_y
_atom_site_fract_z
Li1 Li 0.000 0.000 0.000
Li2 Li 0.499 0.500 0.246
Mn1 Mn 0.999 0.000 0.534
Pt1 Pt 0.500 0.500 0.744
```

A relaxed LiMnPt crystal, computed with PBE.

* calculated total energy: -17.19 eV/f.u.
* E_form: -23 meV per atom
* volume: 168.1 Å³ per cell

Geometry as CIF:
```
data_LiMnPt
_chemical_formula_sum 'Li4 Mn4 Pt4'
_cell_length_a 5.276
_cell_length_b 2.735
_cell_length_c 11.654
_cell_angle_alpha 90.00
_cell_angle_beta 90.00
_cell_angle_gamma 90.00
_symmetry_space_group_name_H-M 'P n m a'
_symmetry_Int_Tables_number 62
_symmetry_space_group_name_Hall '-P 2ac 2n'
loop_
_atom_site_label
_atom_site_type_symbol
_atom_site_fract_x
_atom_site_fract_y
_atom_site_fract_z
Li1 Li 0.131 0.250 0.246
Mn1 Mn 0.121 0.250 0.947
Pt1 Pt 0.117 0.250 0.591
```